La8Si3OsCl4 | PBE-GGA | relaxed

Summary:
volume = 460.8 Å³/cell
space group = No. 166
E_form (uncorrected) = -1.167 eV per atom

a b c (Å): 8.655 8.685 8.656
angles (deg): 119.89 120.00 90.00
Sites, in units of the cell vectors:
La  0.234  0.720  0.468
Si  0.500  0.500  0.500
La  0.766  0.280  0.532
La  0.744  0.732  0.488
La  0.247  0.280  0.014
Cl  0.000  0.000  0.500
La  0.256  0.268  0.512
Cl  0.500  0.000  0.000
La  0.767  0.280  0.014
Os  0.000  0.500  0.000
La  0.753  0.720  0.986
Cl  0.500  0.000  0.500
Si  0.000  0.500  0.500
Cl  0.000  0.000  0.000
La  0.233  0.720  0.986
Si  0.500  0.500  0.000



La6TcOs2Cl3 | PBE-GGA | relaxed

Summary:
volume = 344.4 Å³/cell
space group = No. 12
E_form (uncorrected) = -0.809 eV per atom

a b c (Å): 7.260 7.260 7.922
angles (deg): 98.78 98.78 119.99
Sites, in units of the cell vectors:
Cl  0.500  0.500  0.500
Os  0.667  0.333  0.000
La  0.068  0.400  0.204
La  0.932  0.600  0.796
La  0.600  0.932  0.796
La  0.735  0.735  0.203
Os  0.333  0.667  0.000
Cl  0.163  0.837  0.500
La  0.400  0.068  0.204
La  0.265  0.265  0.797
Cl  0.837  0.163  0.500
Tc  0.000  0.000  0.000



La4Te2OsCl | PBE-GGA | relaxed

Summary:
volume = 248.4 Å³/cell
space group = No. 10
E_form (uncorrected) = -1.223 eV per atom

a b c (Å): 4.335 7.856 7.632
angles (deg): 72.91 90.00 90.00
Sites, in units of the cell vectors:
La  0.000  0.723  0.730
Cl  0.500  0.500  0.000
La  0.500  0.288  0.720
Te  0.000  0.000  0.000
La  0.500  0.712  0.280
Te  0.500  0.000  0.500
La  0.000  0.277  0.270
Os  0.000  0.500  0.500



no.,DOS at the Fermi energy (states/eV/cell)
1,12.87
2,5.78
3,6.11